Record 1
AsPd3Ru | Alexandria via LeMat-Bulk | PBE-GGA | relaxed; ΔE_f = 1.273 eV per atom; density of states at the Fermi level = 7.40 states/eV per cell; energy above the lowest structure with this stoichiometry = 573 meV/atom
1.0
4.7708 0.0000 0.0000
0.0000 4.7708 0.0000
0.0000 0.0000 4.7708
As Pd Ru
1 3 1
Direct
0.0000 0.0000 0.0000
0.0000 0.5000 0.5000
0.5000 0.0000 0.5000
0.5000 0.5000 0.0000
0.5000 0.5000 0.5000

=====

Record 2
HfTi3Br | Alexandria via LeMat-Bulk | PBE-GGA | relaxed; density of states at the Fermi level = 6.29 states/eV per cell; energy above the lowest structure with this stoichiometry = 883 meV/atom
1.0
5.0084 0.0000 0.0000
0.0000 5.0084 0.0000
0.0000 0.0000 5.0084
Hf Ti Br
1 3 1
Direct
0.0000 0.0000 0.0000
0.0000 0.0000 0.5000
0.0000 0.5000 0.0000
0.5000 0.0000 0.0000
0.5000 0.5000 0.5000

=====

Record 3
KMnAs3 | Alexandria via LeMat-Bulk | PBE-GGA | relaxed; ΔE_f = 1.717 eV per atom; density of states at the Fermi level = 3.82 states/eV per cell; energy above the lowest structure with this stoichiometry = 1651 meV/atom
1.0
5.3656 0.0000 0.0000
0.0000 5.3656 0.0000
0.0000 0.0000 5.3656
K Mn As
1 1 3
Direct
0.0000 0.0000 0.0000
0.5000 0.5000 0.5000
0.0000 0.0000 0.5000
0.0000 0.5000 0.0000
0.5000 0.0000 0.0000

=====

Record 4
Cs2MgMoOs | Alexandria via LeMat-Bulk | PBE-GGA | relaxed; ΔE_f = 2.334 eV per atom; density of states at the Fermi level = 5.22 states/eV per cell
1.0
6.0702 0.0000 0.0000
0.0000 6.0702 0.0000
0.0000 0.0000 5.5253
Cs Mg Mo Os
2 1 1 1
Direct
0.0000 0.5000 0.0000
0.5000 0.0000 0.0000
0.0000 0.0000 0.5000
0.0000 0.0000 0.0000
0.5000 0.5000 0.5000

=====

Record 5
PmGe2BRu2 | Alexandria via LeMat-Bulk | PBE-GGA | relaxed; ΔE_f = -0.552 eV per atom; density of states at the Fermi level = 2.50 states/eV per cell
1.0
4.1776 0.0000 0.0000
0.0000 4.1776 0.0000
0.0000 0.0000 5.5586
Pm Ge B Ru
1 2 1 2
Direct
0.0000 0.0000 0.0000
0.5000 0.5000 0.2234
0.5000 0.5000 0.7766
0.0000 0.0000 0.5000
0.0000 0.5000 0.5000
0.5000 0.0000 0.5000

=====

Record 6
Tb5Sn2Sb2 | Alexandria via LeMat-Bulk | PBE-GGA | relaxed; electronic total energy = -5.3025 eV/atom; density of states at the Fermi level = 14.39 states/eV per cell
1.0
7.7440 -4.0783 0.0000
7.7440 4.0783 0.0000
0.0000 0.0000 8.1935
Tb Sn Sb
10 4 4
Direct
0.0000 0.0000 0.0000
0.0317 0.6972 0.6644
0.1972 0.5317 0.1644
0.3028 0.9683 0.6644
0.4683 0.8028 0.1644
0.5000 0.5000 0.5000
0.5317 0.1972 0.8356
0.6972 0.0317 0.3356
0.8028 0.4683 0.8356
0.9683 0.3028 0.3356
0.1349 0.8651 0.3652
0.3651 0.6349 0.8652
0.6349 0.3651 0.1348
0.8651 0.1349 0.6348
0.2027 0.2027 0.0000
0.2973 0.2973 0.5000
0.7027 0.7027 0.5000
0.7973 0.7973 0.0000

=====

Record 7
Pu4Bi2B | Alexandria via LeMat-Bulk | PBE-GGA | relaxed; ΔE_f = -0.179 eV per atom; density of states at the Fermi level = 32.26 states/eV per cell
1.0
-2.4278 2.4278 8.3257
2.4278 -2.4278 8.3257
2.4278 2.4278 -8.3257
Pu Bi B
4 2 1
Direct
0.0000 0.5000 0.5000
0.1591 0.1591 0.0000
0.5000 0.0000 0.5000
0.8409 0.8409 0.0000
0.3574 0.3574 0.0000
0.6426 0.6426 0.0000
0.0000 0.0000 0.0000

=====

Record 8
Nd2BiN | Alexandria via LeMat-Bulk | PBE-GGA | relaxed; density of states at the Fermi level = 2.64 states/eV per cell; energy above the lowest structure with this stoichiometry = 151 meV/atom
1.0
1.8618 1.0749 8.0489
-1.8618 1.0749 8.0489
0.0000 -2.1498 8.0489
Nd Bi N
2 1 1
Direct
0.2230 0.2230 0.2230
0.7770 0.7770 0.7770
0.0000 0.0000 0.0000
0.5000 0.5000 0.5000

=====

Record 9
YZn2Ni | Alexandria via LeMat-Bulk | PBE-GGA | relaxed; ΔE_f = -0.212 eV per atom; density of states at the Fermi level = 1.59 states/eV per cell
1.0
3.1924 0.0000 0.0000
0.0000 3.1924 0.0000
0.0000 0.0000 6.7790
Y Zn Ni
1 2 1
Direct
0.0000 0.0000 0.0000
0.0000 0.0000 0.5532
0.5000 0.5000 0.3306
0.5000 0.5000 0.7343

=====

Record 10
CsK4Sr2 | Alexandria via LeMat-Bulk | PBE-GGA | relaxed; ΔE_f = 0.350 eV per atom; density of states at the Fermi level = 9.23 states/eV per cell
1.0
-3.8213 3.8213 10.9200
3.8213 -3.8213 10.9200
3.8213 3.8213 -10.9200
Cs K Sr
1 4 2
Direct
0.0000 0.0000 0.0000
0.0000 0.5000 0.5000
0.2019 0.2019 0.0000
0.5000 0.0000 0.5000
0.7981 0.7981 0.0000
0.4027 0.4027 0.0000
0.5973 0.5973 0.0000

=====

Record 11
La2AlAgRu | Alexandria via LeMat-Bulk | PBE-GGA | relaxed; ΔE_f = -0.258 eV per atom; density of states at the Fermi level = 3.78 states/eV per cell
1.0
5.4373 0.0000 0.0000
0.0000 5.4373 0.0000
0.0000 0.0000 4.8377
La Al Ag Ru
2 1 1 1
Direct
0.0000 0.5000 0.0000
0.5000 0.0000 0.0000
0.0000 0.0000 0.5000
0.5000 0.5000 0.5000
0.0000 0.0000 0.0000

=====

Record 12
BaReW2 | Alexandria via LeMat-Bulk | PBE-GGA | relaxed; ΔE_f = 1.646 eV per atom; density of states at the Fermi level = 3.73 states/eV per cell; energy above the lowest structure with this stoichiometry = 803 meV/atom
1.0
4.8815 0.0000 0.0000
0.0000 4.8815 0.0000
0.0000 0.0000 3.1713
Ba Re W
1 1 2
Direct
0.0000 0.0000 0.0000
0.5000 0.5000 0.0000
0.0000 0.5000 0.5000
0.5000 0.0000 0.5000

=====

Copy entry 9 word for word.
YZn2Ni | Alexandria via LeMat-Bulk | PBE-GGA | relaxed; ΔE_f = -0.212 eV per atom; density of states at the Fermi level = 1.59 states/eV per cell
1.0
3.1924 0.0000 0.0000
0.0000 3.1924 0.0000
0.0000 0.0000 6.7790
Y Zn Ni
1 2 1
Direct
0.0000 0.0000 0.0000
0.0000 0.0000 0.5532
0.5000 0.5000 0.3306
0.5000 0.5000 0.7343